# HfFeO2 PBE with a Hubbard U optimized geometry
data_HfFeO2
_symmetry_space_group_name_H-M 'I -4 2 d'
_symmetry_Int_Tables_number 122
_symmetry_space_group_name_Hall 'I -4 2bw'
_cell_length_a 4.836
_cell_length_b 4.836
_cell_length_c 9.934
_cell_angle_alpha 90.00
_cell_angle_beta 90.00
_cell_angle_gamma 90.00
loop_
_atom_site_label
_atom_site_fract_x
_atom_site_fract_y
_atom_site_fract_z
Hf1 0.000 0.000 0.000
Fe1 0.000 0.000 0.500
O1 0.224 0.250 0.125
# - offset from the most stable computed form (meV/atom) = 145
# - density (g cm⁻³) = 7.6